(1)
Computed, not measured: a geometry-optimized AcUTe3 structure at the GGA-PBE level of DFT.

```
20
Lattice="4.6038 0.0000 0.0000 0.0000 8.4621 0.0000 0.0000 0.0000 17.6894" Properties=species:S:1:pos:R:3 pbc="T T T"
Te 1.1510 4.2896 1.8265
Te 1.1510 0.0585 7.0182
Te 1.1510 5.6133 12.6214
Te 1.1510 3.1969 9.8844
Te 3.4529 4.1725 15.8629
Te 1.1510 1.3823 13.9128
Te 3.4529 7.0798 3.7767
Te 3.4529 8.4036 10.6712
Te 1.1510 7.4280 16.6498
Te 3.4529 1.0341 1.0397
Te 3.4529 5.2652 7.8050
Te 3.4529 2.8488 5.0680
U 1.1510 2.3007 16.9904
U 3.4529 6.1614 0.6991
U 1.1510 6.5317 9.5438
U 3.4529 1.9304 8.1456
Ac 3.4529 3.1594 12.3506
Ac 1.1510 1.0717 3.5059
Ac 3.4529 7.3904 14.1836
Ac 1.1510 5.3027 5.3388
```

The volume comes out at 34.46 Å³ per atom. Its total energy is -6.0547 eV/atom. The value obtained for the raw formation energy is -105 kJ/mol of atoms. The value obtained for the energy above the most stable polymorph in this dataset is 0.000 eV/atom.

=====

(2)
Computed, not measured: a geometry-optimized InHg2 structure at the GGA-PBE level of DFT.

```
12
Lattice="-2.7734 -3.3977 5.6553 -0.4197 -6.0314 -3.8295 6.5841 -1.8157 2.1381" Properties=species:S:1:pos:R:3 pbc="T T T"
Hg 3.6609 -8.9899 2.0543
Hg 2.9172 -4.6710 2.0210
Hg 3.4010 -6.8370 -1.3081
Hg 0.2139 -4.4208 -1.4194
Hg 3.1771 -6.8239 5.3833
Hg -0.2699 -2.2548 1.9096
Hg 0.4738 -6.5737 1.9429
Hg -0.0100 -4.4077 5.2720
In -1.5966 -4.7145 0.9129
In 0.0000 0.0000 0.0000
In 1.9053 -2.6067 3.8967
In 3.0822 -3.9235 -0.8457
```

The value obtained for the energy of formation is 66.6 meV/atom. The volume comes out at 30.55 Å³ per atom. Its total energy is -1.0474 eV/atom.

=====

(3)
Computed, not measured: a geometry-optimized TbYAgAu structure at the GGA-PBE level of DFT.

```
4
Lattice="3.6184 0.0000 0.0000 0.0000 3.6184 0.0000 0.0000 0.0000 7.2935" Properties=species:S:1:pos:R:3 pbc="T T T"
Ag 0.0000 0.0000 6.2530
Tb 1.8092 1.8092 0.8198
Au 0.0000 0.0000 2.5964
Y 1.8092 1.8092 4.3923
```

The value obtained for the energy of formation is -592.8 meV/atom. The volume comes out at 23.87 Å³ per atom. Its total energy is -4.8986 eV/atom. The value obtained for the energy above the most stable polymorph in this dataset is 0.000 eV/atom.

=====

(4)
Computed, not measured: a geometry-optimized Rb2BaInSb2 structure at the GGA-PBE level of DFT.

```
12
Lattice="5.0866 0.0000 0.0000 0.0000 9.4577 0.0000 0.0000 0.0000 10.2196" Properties=species:S:1:pos:R:3 pbc="T T T"
In 2.5433 6.1890 3.2771
In 2.5433 1.4601 6.9425
Rb 2.5433 5.0604 9.3325
Rb 0.0000 8.1559 8.4618
Rb 2.5433 0.3315 0.8871
Rb 0.0000 3.4271 1.7577
Sb 2.5433 2.4706 4.1639
Sb 0.0000 2.3512 8.3750
Sb 2.5433 7.1994 6.0557
Sb 0.0000 7.0800 1.8446
Ba 0.0000 9.3062 4.6645
Ba 0.0000 4.5774 5.5550
```

The volume comes out at 40.97 Å³ per atom. Its total energy is -3.0360 eV/atom. The value obtained for the raw formation energy is -54 kJ/mol of atoms.

=====

What did the second record say?
Computed, not measured: a geometry-optimized InHg2 structure at the GGA-PBE level of DFT.

```
12
Lattice="-2.7734 -3.3977 5.6553 -0.4197 -6.0314 -3.8295 6.5841 -1.8157 2.1381" Properties=species:S:1:pos:R:3 pbc="T T T"
Hg 3.6609 -8.9899 2.0543
Hg 2.9172 -4.6710 2.0210
Hg 3.4010 -6.8370 -1.3081
Hg 0.2139 -4.4208 -1.4194
Hg 3.1771 -6.8239 5.3833
Hg -0.2699 -2.2548 1.9096
Hg 0.4738 -6.5737 1.9429
Hg -0.0100 -4.4077 5.2720
In -1.5966 -4.7145 0.9129
In 0.0000 0.0000 0.0000
In 1.9053 -2.6067 3.8967
In 3.0822 -3.9235 -0.8457
```

The value obtained for the energy of formation is 66.6 meV/atom. The volume comes out at 30.55 Å³ per atom. Its total energy is -1.0474 eV/atom.